(1)
# MgIn4Cu, relaxed, DFT PBE
data_MgIn4Cu
_chemical_formula_sum 'Mg4 In16 Cu4'
_space_group_name_H-M_alt 'I 4/m c m'
_space_group_IT_number 140
_space_group_name_Hall '-I 4 2c'
_cell_length_a 6.980
_cell_length_b 6.980
_cell_length_c 11.363
_cell_angle_alpha 90.00
_cell_angle_beta 90.00
_cell_angle_gamma 90.00
loop_
_atom_site_label
_atom_site_type_symbol
_atom_site_fract_x
_atom_site_fract_y
_atom_site_fract_z
Mg1 Mg 0.000 0.000 0.000
In1 In 0.158 0.342 0.140
Cu1 Cu 0.000 0.000 0.250
# Relative energy among the computed polymorphs: 0.0000 eV/atom
# Electronic total energy: -2.79 eV per atom

***

(2)
# Mg5In4Cu4, relaxed, DFT PBE
data_Mg5In4Cu4
_chemical_formula_sum 'Mg10 In8 Cu8'
_space_group_name_H-M_alt 'I 4/m'
_space_group_IT_number 87
_space_group_name_Hall '-I 4'
_cell_length_a 11.295
_cell_length_b 11.295
_cell_length_c 4.043
_cell_angle_alpha 90.00
_cell_angle_beta 90.00
_cell_angle_gamma 90.00
loop_
_atom_site_label
_atom_site_type_symbol
_atom_site_fract_x
_atom_site_fract_y
_atom_site_fract_z
Mg1 Mg 0.000 0.000 0.000
Mg2 Mg 0.116 0.815 0.500
In1 In 0.106 0.379 0.500
Cu1 Cu 0.059 0.228 0.000
# Electronic total energy: -2.74 eV per atom

***

(3)
# MgIn2Cu2, relaxed, DFT PBE
data_MgIn2Cu2
_chemical_formula_sum 'Mg2 In4 Cu4'
_space_group_name_H-M_alt 'I 4/m m m'
_space_group_IT_number 139
_space_group_name_Hall '-I 4 2'
_cell_length_a 4.263
_cell_length_b 4.263
_cell_length_c 11.318
_cell_angle_alpha 90.00
_cell_angle_beta 90.00
_cell_angle_gamma 90.00
loop_
_atom_site_label
_atom_site_type_symbol
_atom_site_fract_x
_atom_site_fract_y
_atom_site_fract_z
Mg1 Mg 0.000 0.000 0.000
In1 In 0.000 0.500 0.250
Cu1 Cu 0.000 0.000 0.397
# Electronic total energy: -2.91 eV per atom

***

(4)
# MgIn2Cu2, relaxed, DFT PBE
data_MgIn2Cu2
_chemical_formula_sum 'Mg2 In4 Cu4'
_space_group_name_H-M_alt 'I 4/m m m'
_space_group_IT_number 139
_space_group_name_Hall '-I 4 2'
_cell_length_a 3.405
_cell_length_b 3.405
_cell_length_c 17.175
_cell_angle_alpha 90.00
_cell_angle_beta 90.00
_cell_angle_gamma 90.00
loop_
_atom_site_label
_atom_site_type_symbol
_atom_site_fract_x
_atom_site_fract_y
_atom_site_fract_z
Mg1 Mg 0.000 0.000 0.000
In1 In 0.000 0.000 0.380
Cu1 Cu 0.000 0.500 0.250
# Electronic total energy: -3.00 eV per atom

***

(5)
# Mg3InCu, relaxed, DFT PBE
data_Mg3InCu
_chemical_formula_sum 'Mg12 In4 Cu4'
_space_group_name_H-M_alt 'C 1 2/m 1'
_space_group_IT_number 12
_space_group_name_Hall '-C 2y'
_cell_length_a 10.471
_cell_length_b 4.530
_cell_length_c 8.805
_cell_angle_alpha 90.00
_cell_angle_beta 91.45
_cell_angle_gamma 90.00
loop_
_atom_site_label
_atom_site_type_symbol
_atom_site_fract_x
_atom_site_fract_y
_atom_site_fract_z
Mg1 Mg 0.096 0.000 0.362
Mg2 Mg 0.109 0.500 0.634
Mg3 Mg 0.126 0.000 0.897
In1 In 0.095 0.500 0.134
Cu1 Cu 0.246 0.000 0.609
# Relative energy among the computed polymorphs: 0.0000 eV/atom
# Electronic total energy: -2.38 eV per atom

***

(6)
# Mg3In4Cu8, relaxed, DFT PBE
data_Mg3In4Cu8
_chemical_formula_sum 'Mg6 In8 Cu16'
_space_group_name_H-M_alt 'P 63 m c'
_space_group_IT_number 186
_space_group_name_Hall 'P 6c -2c'
_cell_length_a 8.4501
_cell_length_b 8.4501
_cell_length_c 8.1118
_cell_angle_alpha 90.00
_cell_angle_beta 90.00
_cell_angle_gamma 120.00
loop_
_atom_site_label
_atom_site_type_symbol
_atom_site_fract_x
_atom_site_fract_y
_atom_site_fract_z
Mg1 Mg 0.0362 0.5181 0.0000
In1 In 0.1814 0.3629 0.7389
In2 In 0.3333 0.6667 0.2365
Cu1 Cu 0.0000 0.0000 0.3129
Cu2 Cu 0.1194 0.2388 0.0619
Cu3 Cu 0.1692 0.3385 0.3896
Cu4 Cu 0.3333 0.6667 0.5575
# Electronic total energy: -3.29 eV per atom